AlInIr | PBE | relaxed

Calculated total energy ... -5.356 eV per atom
Density of states at the Fermi level ... 0.42 states/eV/atom

abc: 3.021 3.021 11.569
angles: 90.00 90.00 90.00
Fractional coordinates of all 6 atoms:
Al 0.000 0.000 0.000
Al 0.500 0.500 0.500
In 0.000 0.000 0.293
In 0.500 0.500 0.793
Ir 0.000 0.000 0.618
Ir 0.500 0.500 0.118